# 1
VASP calculation (PBE) on SmThB12 after structural relaxation.

V, Å³ per cell: 139.48
VASP energy, eV/atom: -7.050
Symmetry: Fm-3m (225)
Total moment, Bohr magnetons per cell: 0.000
Energy above the lowest structure with this stoichiometry, meV/atom: 6

a = 5.8212 Å, b = 5.8212 Å, c = 5.8212 Å
α = 60.00°, β = 60.00°, γ = 60.00°
Element x y z (fractional)
Sm 0.0000 0.0000 0.0000
Th 0.5000 0.5000 0.5000
B 0.0991 0.0991 0.4009
B 0.0991 0.4009 0.0991
B 0.0991 0.4009 0.4009
B 0.4009 0.0991 0.0991
B 0.4009 0.0991 0.4009
B 0.4009 0.4009 0.0991
B 0.5991 0.5991 0.9009
B 0.5991 0.9009 0.5991
B 0.5991 0.9009 0.9009
B 0.9009 0.5991 0.5991
B 0.9009 0.5991 0.9009
B 0.9009 0.9009 0.5991

# 2
VASP calculation (PBE) on Cs2Pu2ZrS6 after structural relaxation.

V, Å³ per cell: 339.12
VASP energy, eV/atom: -7.369
Symmetry: C2/m (12)
E_form (uncorrected), eV/atom: -1.579
Total moment, Bohr magnetons per cell: 10.000

a = 6.8900 Å, b = 6.8900 Å, c = 8.5453 Å
α = 97.83°, β = 97.83°, γ = 119.71°
Element x y z (fractional)
Cs 0.1680 0.8320 0.0000
Cs 0.8320 0.1680 0.0000
Pu 0.3336 0.6664 0.5000
Pu 0.6664 0.3336 0.5000
Zr 0.0000 0.0000 0.5000
S 0.0590 0.3770 0.6752
S 0.2575 0.2575 0.3251
S 0.3770 0.0590 0.6752
S 0.6230 0.9410 0.3248
S 0.7425 0.7425 0.6749
S 0.9410 0.6230 0.3248

# 3
VASP calculation (PBE) on LaTaAgIr2 after structural relaxation.

V, Å³ per cell: 123.49
VASP energy, eV/atom: -5.347
Symmetry: P4/mmm (123)
Total moment, Bohr magnetons per cell: 0.470

a = 4.9229 Å, b = 4.9229 Å, c = 5.0954 Å
α = 90.00°, β = 90.00°, γ = 90.00°
Element x y z (fractional)
La 0.0000 0.0000 0.0000
Ta 0.0000 0.0000 0.5000
Ag 0.5000 0.5000 0.5000
Ir 0.0000 0.5000 0.0000
Ir 0.5000 0.0000 0.0000

# 4
VASP calculation (PBE) on Cd3HgBi3 after structural relaxation.

V, Å³ per cell: 569.05
VASP energy, eV/atom: -1.827
Symmetry: Pm-3n (223)
Total moment, Bohr magnetons per cell: 0.000

a = 8.2867 Å, b = 8.2867 Å, c = 8.2867 Å
α = 90.00°, β = 90.00°, γ = 90.00°
Element x y z (fractional)
Cd 0.0000 0.2500 0.5000
Cd 0.0000 0.7500 0.5000
Cd 0.2500 0.5000 0.0000
Cd 0.5000 0.0000 0.2500
Cd 0.5000 0.0000 0.7500
Cd 0.7500 0.5000 0.0000
Hg 0.0000 0.0000 0.0000
Hg 0.5000 0.5000 0.5000
Bi 0.0000 0.5000 0.2500
Bi 0.0000 0.5000 0.7500
Bi 0.2500 0.0000 0.5000
Bi 0.5000 0.2500 0.0000
Bi 0.5000 0.7500 0.0000
Bi 0.7500 0.0000 0.5000

# 5
VASP calculation (PBE) on HoPu2Ru2 after structural relaxation.

V, Å³ per cell: 197.00
VASP energy, eV/atom: -10.320
Symmetry: Cmcm (63)
Total moment, Bohr magnetons per cell: 8.793
Energy above the lowest structure with this stoichiometry, meV/atom: 193

a = 12.7764 Å, b = 12.7764 Å, c = 4.7064 Å
α = 90.00°, β = 90.00°, γ = 165.14°
Element x y z (fractional)
Ho 0.1434 0.8566 0.7500
Ho 0.8566 0.1434 0.2500
Pu 0.0512 0.9488 0.2500
Pu 0.2416 0.7584 0.2500
Pu 0.7584 0.2416 0.7500
Pu 0.9488 0.0512 0.7500
Ru 0.3381 0.6619 0.7500
Ru 0.4574 0.5426 0.2500
Ru 0.5426 0.4574 0.7500
Ru 0.6619 0.3381 0.2500

# 6
VASP calculation (PBE) on Sm12TmSc7 after structural relaxation.

V, Å³ per cell: 611.10
VASP energy, eV/atom: -5.111
Symmetry: R-3 (148)
Total moment, Bohr magnetons per cell: 0.008

a = 9.1244 Å, b = 9.1244 Å, c = 9.1244 Å
α = 108.18°, β = 108.18°, γ = 108.18°
Element x y z (fractional)
Sm 0.0604 0.2958 0.4073
Sm 0.2055 0.6752 0.3754
Sm 0.2958 0.4073 0.0604
Sm 0.3248 0.6246 0.7945
Sm 0.3754 0.2055 0.6752
Sm 0.4073 0.0604 0.2958
Sm 0.5927 0.9396 0.7042
Sm 0.6246 0.7945 0.3248
Sm 0.6752 0.3754 0.2055
Sm 0.7042 0.5927 0.9396
Sm 0.7945 0.3248 0.6246
Sm 0.9396 0.7042 0.5927
Tm 0.0000 0.0000 0.0000
Sc 0.0008 0.8982 0.3148
Sc 0.1018 0.6852 0.9992
Sc 0.3148 0.0008 0.8982
Sc 0.5000 0.5000 0.5000
Sc 0.6852 0.9992 0.1018
Sc 0.8982 0.3148 0.0008
Sc 0.9992 0.1018 0.6852

# 7
VASP calculation (PBE) on ErThAl4 after structural relaxation.

V, Å³ per cell: 130.87
VASP energy, eV/atom: -4.927
Symmetry: Immm (71)
Total moment, Bohr magnetons per cell: 0.000
Energy above the lowest structure with this stoichiometry, meV/atom: 17

a = 5.8278 Å, b = 5.8278 Å, c = 5.8278 Å
α = 133.69°, β = 104.07°, γ = 93.79°
Element x y z (fractional)
Er 0.0000 0.0000 0.0000
Th 0.5000 0.0000 0.5000
Al 0.0784 0.3339 0.7445
Al 0.4105 0.6661 0.7445
Al 0.5895 0.3339 0.2555
Al 0.9216 0.6661 0.2555

# 8
VASP calculation (PBE) on AlCo2W after structural relaxation.

V, Å³ per cell: 50.80
VASP energy, eV/atom: -7.900
Symmetry: Pmmm (47)
Total moment, Bohr magnetons per cell: 0.001

a = 2.7217 Å, b = 3.4111 Å, c = 5.4720 Å
α = 90.00°, β = 90.00°, γ = 90.00°
Element x y z (fractional)
Al 0.0000 0.0000 0.0000
Co 0.5000 0.5000 0.2515
Co 0.5000 0.5000 0.7485
W 0.0000 0.0000 0.5000